1.
First-principles (PBE) data for crystalline KSN3 at its relaxed geometry, as listed in Alexandria via LeMat-Bulk.

Output
* raw total energy: -5.993 eV/atom
* crystal system: monoclinic
* ΔE_f (raw): 47 meV per atom
* density: 1.3 g/cm3

Structure (CIF):
```
data_KSN3
_chemical_formula_sum 'K2 S2 N6'
_cell_length_a 8.2476
_cell_length_b 4.9394
_cell_length_c 7.8759
_cell_angle_alpha 90.00
_cell_angle_beta 114.31
_cell_angle_gamma 90.00
_space_group_name_H-M_alt 'C 1 m 1'
_space_group_IT_number 8
loop_
_space_group_symop_operation_xyz
'x,y,z'
'x,-y,z'
'x+1/2,y+1/2,z'
'x+1/2,-y+1/2,z'
loop_
_atom_site_label
_atom_site_fract_x
_atom_site_fract_y
_atom_site_fract_z
K1 0.0000 0.0000 0.0000
S1 0.2455 0.0000 0.7463
N1 0.2250 0.3873 0.3581
N2 0.3230 0.0000 0.9665
```

=====

2.
First-principles (PBE) data for crystalline NdSm2DyTl2 at its relaxed geometry, as listed in Alexandria via LeMat-Bulk.

Output
* raw total energy: -4.194 eV/atom
* energy relative to the elements: -26.1 kJ/mol of atoms
* crystal system: orthorhombic
* density: 9.2 g/cm3

Structure (CIF):
```
data_NdSm2DyTl2
_chemical_formula_sum 'Nd2 Sm4 Dy2 Tl4'
_cell_length_a 5.2008
_cell_length_b 10.1793
_cell_length_c 6.9043
_cell_angle_alpha 90.00
_cell_angle_beta 90.00
_cell_angle_gamma 90.00
_space_group_name_H-M_alt 'P m c 21'
_space_group_IT_number 26
loop_
_space_group_symop_operation_xyz
'x,y,z'
'-x,-y,z+1/2'
'-x,y,z'
'x,-y,z+1/2'
loop_
_atom_site_label
_atom_site_fract_x
_atom_site_fract_y
_atom_site_fract_z
Nd1 0.0000 0.0433 0.0000
Sm1 0.0000 0.3177 0.3711
Sm2 0.5000 0.4552 0.0923
Dy1 0.5000 0.1883 0.7211
Tl1 0.0000 0.3611 0.8363
Tl2 0.5000 0.1326 0.2618
```